An optimized crystal structure of Np2Sn2GeRu4. Source: Alexandria, functional PBE.

Lattice parameters (Å, degrees): 6.3122 6.3122 8.9318 90.00 90.00 90.00
With the nearest neighbours (Å) after each atom.
Space group I4/mmm (No. 139)
Inequivalent atoms, fractional coordinates:
Np 0.0000 0.0000 0.1889  4 Ru 2.66, 1 Ge 2.78
Sn 0.0000 0.5000 0.2500  8 Ru 3.16, 4 Np 3.20
Ge 0.0000 0.0000 0.5000  4 Ru 2.41
Ru 0.2297 0.2297 0.0000  1 Ge 2.41, 2 Np 2.66

Computed properties:
As for the total energy: -0.3015 hartree per atom.



An optimized crystal structure of NpTcGeRu. Source: Alexandria, functional PBE.

Lattice parameters (Å, degrees): 6.4381 6.4381 6.4381 90.00 90.00 90.00
With the nearest neighbours (Å) after each atom.
Space group F-43m (No. 216)
Inequivalent atoms, fractional coordinates:
Np 0.0000 0.0000 0.0000  4 Tc 2.79, 4 Ru 2.79
Tc 0.2500 0.2500 0.7500  4 Ge 2.79, 4 Np 2.79
Ge 0.0000 0.0000 0.5000  4 Ru 2.79, 4 Tc 2.79
Ru 0.2500 0.2500 0.2500  4 Np 2.79, 4 Ge 2.79

Computed properties:
As for the total energy: -0.3474 hartree per atom.



An optimized crystal structure of NpTcGe2Ru. Source: Alexandria, functional PBE.

Lattice parameters (Å, degrees): 4.2621 4.2621 9.9680 90.00 90.00 90.00
With the nearest neighbours (Å) after each atom.
Space group I-4m2 (No. 119)
Inequivalent atoms, fractional coordinates:
Np 0.0000 0.0000 0.0000  8 Ge 3.27, 4 Tc 3.28, 4 Ru 3.28
Tc 0.0000 0.5000 0.2500  4 Ge 2.46
Ge 0.0000 0.0000 0.3737  2 Tc 2.46, 2 Ru 2.46, 1 Ge 2.52
Ru 0.0000 0.5000 0.7500  4 Ge 2.46

Computed properties:
As for the total energy: -0.3152 hartree per atom.



An optimized crystal structure of NpVGeRu. Source: Alexandria, functional PBE.

Lattice parameters (Å, degrees): 6.4693 6.4693 6.4693 90.00 90.00 90.00
With the nearest neighbours (Å) after each atom.
Space group F-43m (No. 216)
Inequivalent atoms, fractional coordinates:
Np 0.0000 0.0000 0.0000  4 Ge 2.80, 4 V 2.80
V 0.2500 0.2500 0.7500  4 Np 2.80, 4 Ru 2.80
Ge 0.2500 0.2500 0.2500  4 Ru 2.80, 4 Np 2.80
Ru 0.0000 0.0000 0.5000  4 V 2.80, 4 Ge 2.80

Computed properties:
As for the total energy: -0.3212 hartree per atom.



An optimized crystal structure of Np2GeS4. Source: Alexandria, functional PBE.

Lattice parameters (Å, degrees): 6.5110 6.5110 7.0457 90.00 90.00 90.00
With the nearest neighbours (Å) after each atom.
Space group I4/mmm (No. 139)
Inequivalent atoms, fractional coordinates:
Np 0.0000 0.5000 0.2500  8 S 2.90
Ge 0.0000 0.0000 0.0000  4 S 2.42
S 0.2368 0.2368 0.5000  1 Ge 2.42

Computed properties:
As for the total energy: -0.2767 hartree per atom.



An optimized crystal structure of Np6GeS5. Source: Alexandria, functional PBE.

Lattice parameters (Å, degrees): 6.8447 11.8612 6.8428 90.00 109.53 90.00
With the nearest neighbours (Å) after each atom.
Space group C2/m (No. 12)
Inequivalent atoms, fractional coordinates:
Np 0.2422 0.0000 0.2539  5 S 2.73-2.79, 1 Ge 2.86
Np 0.2435 0.1713 0.7442  5 S 2.76-2.80, 1 Ge 2.87
Ge 0.0000 0.5000 0.0000  6 Np 2.86-2.87
S 0.0000 0.0000 0.5000  6 Np 2.73-2.80
S 0.0000 0.1672 0.0000  6 Np 2.79
S 0.0000 0.3379 0.5000  6 Np 2.76-2.80

Computed properties:
As for the total energy: -0.3567 hartree per atom.



An optimized crystal structure of Np2GeS. Source: Alexandria, functional PBE.

Lattice parameters (Å, degrees): 4.0870 4.0870 19.1076 90.00 90.00 120.00
With the nearest neighbours (Å) after each atom.
Space group R-3m (No. 166, hexagonal axes)
Inequivalent atoms, fractional coordinates:
Np 0.0000 0.0000 0.2456  3 S 2.80, 3 Ge 2.89
Ge 0.0000 0.0000 0.0000  6 Np 2.89
S 0.0000 0.0000 0.5000  6 Np 2.80

Computed properties:
As for the total energy: -0.3416 hartree per atom.



An optimized crystal structure of Np2GeS5. Source: Alexandria, functional PBE.

Lattice parameters (Å, degrees): 7.4652 11.1259 3.8190 90.00 90.00 90.00
With the nearest neighbours (Å) after each atom.
Space group Pbam (No. 55)
Inequivalent atoms, fractional coordinates:
Np 0.0371 0.1751 0.0000  8 S 2.74-2.91
Ge 0.0000 0.5000 0.5000  6 S 2.52
S 0.0000 0.0000 0.5000  4 Np 2.74
S 0.1701 0.6959 0.5000  1 Ge 2.52
S 0.1725 0.4086 0.0000  2 Ge 2.52, 1 Np 2.79

Computed properties:
As for the total energy: -0.2717 hartree per atom.



An optimized crystal structure of NpGeS. Source: Alexandria, functional PBE.

Lattice parameters (Å, degrees): 3.8317 3.8317 16.1681 90.00 90.00 90.00
With the nearest neighbours (Å) after each atom.
Space group I4/mmm (No. 139)
Inequivalent atoms, fractional coordinates:
Np 0.0000 0.0000 0.1484  5 S 2.76, 4 Ge 3.07
Ge 0.0000 0.5000 0.0000  4 Ge 2.71
S 0.0000 0.0000 0.3192  5 Np 2.76

Computed properties:
As for the total energy: -0.2990 hartree per atom.



An optimized crystal structure of Np6GeS12. Source: Alexandria, functional PBE.

Lattice parameters (Å, degrees): 11.9106 11.9106 10.8663 90.00 90.00 120.00
With the nearest neighbours (Å) after each atom.
Space group R-3 (No. 148, hexagonal axes)
Inequivalent atoms, fractional coordinates:
Np 0.0520 0.2693 0.1500  7 S 2.70-2.88
Ge 0.0000 0.0000 0.5000  6 S 2.55
S 0.0359 0.2189 0.8959  4 Np 2.70-2.83
S 0.0498 0.2102 0.3916  1 Ge 2.55, 2 Np 2.70-2.71

Computed properties:
As for the total energy: -0.2997 hartree per atom.